Entry from Alexandria via LeMat-Bulk: a geometry-optimized SrBe3 structure (GGA-PBEsol).

POSCAR file:
```
SrBe3
1.0
-2.872 0.009 -0.112
0.084 -1.719 -2.302
-0.179 -5.560 4.147
Be Sr
3 1
direct
0.000 0.000 0.341
0.000 0.000 0.659
0.500 0.500 0.500
0.500 0.500 0.000
```

## Properties
magnetic moment = 0.00 μB per cell
calculated density = 3.32 g cm⁻³
relative energy among the computed polymorphs = 0 meV per atom

Entry from Alexandria via LeMat-Bulk: a geometry-optimized YGaOF2 structure (GGA-PBEsol).

POSCAR file:
```
YGaOF2
1.0
-3.465 -1.043 -2.394
1.727 -3.933 -0.787
-1.981 -1.581 3.556
F Y Ga O
2 1 1 1
direct
0.000 0.500 0.000
0.000 0.000 0.500
0.000 0.000 0.000
0.500 0.500 0.500
0.500 0.000 0.000
```

## Properties
magnetic moment = 0.00 μB per cell
calculated density = 4.27 g cm⁻³
VASP energy = -0.2414 Ha/atom

Entry from Alexandria via LeMat-Bulk: a geometry-optimized BaTa2Mn structure (GGA-PBEsol).

POSCAR file:
```
BaTa2Mn
1.0
-1.194 0.570 -2.825
-2.877 -0.409 1.135
-0.438 8.183 1.838
Ba Ta Mn
1 2 1
direct
0.500 0.500 0.500
0.000 0.000 0.165
0.000 0.000 0.835
0.500 0.500 0.000
```

## Properties
magnetic moment = 0.32 μB per cell
calculated density = 11.26 g cm⁻³
relative energy among the computed polymorphs = 0 meV per atom

Entry from Alexandria via LeMat-Bulk: a geometry-optimized Cd3TcH structure (GGA-PBEsol).

POSCAR file:
```
Cd3TcH
1.0
5.243 0.000 0.000
0.000 5.243 0.000
0.000 0.000 5.243
Cd H Tc
3 1 1
direct
0.000 0.000 0.500
0.500 0.000 0.000
0.000 0.500 0.000
0.500 0.500 0.500
0.000 0.000 0.000
```

## Properties
magnetic moment = 3.03 μB per cell
calculated density = 5.03 g cm⁻³
VASP energy = -0.0827 Ha/atom

Entry from Alexandria via LeMat-Bulk: a geometry-optimized LiSF3 structure (GGA-PBEsol).

POSCAR file:
```
LiSF3
1.0
4.208 0.000 0.000
0.000 4.208 0.000
0.000 0.000 4.208
F S Li
3 1 1
direct
0.000 0.500 0.000
0.500 0.000 0.000
0.000 0.000 0.500
0.000 0.000 0.000
0.500 0.500 0.500
```

## Properties
magnetic moment = 0.00 μB per cell
calculated density = 2.14 g cm⁻³
relative energy among the computed polymorphs = 0 meV per atom

Entry from Alexandria via LeMat-Bulk: a geometry-optimized ZnPtSe2 structure (GGA-PBEsol).

POSCAR file:
```
ZnPtSe2
1.0
3.111 0.000 0.000
0.000 3.111 0.000
0.000 0.000 7.105
Se Pt Zn
2 1 1
direct
0.000 0.000 0.736
0.000 0.000 0.264
0.500 0.500 0.500
0.500 0.500 0.000
```

## Properties
magnetic moment = 0.00 μB per cell
calculated density = 10.10 g cm⁻³
VASP energy = -0.1402 Ha/atom

Entry from Alexandria via LeMat-Bulk: a geometry-optimized Li2ZnNi structure (GGA-PBEsol).

POSCAR file:
```
Li2ZnNi
1.0
-2.389 -0.287 -2.539
-2.171 -1.603 2.224
0.729 4.512 1.214
Zn Ni Li
1 1 2
direct
0.000 0.000 0.000
0.500 0.500 0.000
0.750 0.250 0.500
0.250 0.750 0.500
```

## Properties
magnetic moment = 0.00 μB per cell
calculated density = 4.65 g cm⁻³
VASP energy = -0.1099 Ha/atom

Entry from Alexandria via LeMat-Bulk: a geometry-optimized BeFe2Cl structure (GGA-PBEsol).

POSCAR file:
```
BeFe2Cl
1.0
-1.597 1.090 -2.155
1.603 -1.594 -1.993
-3.826 -4.521 0.549
Fe Cl Be
2 1 1
direct
0.500 0.376 0.270
0.000 0.875 0.068
0.500 0.873 0.711
0.000 0.876 0.451
```

## Properties
magnetic moment = 5.04 μB per cell
calculated density = 5.00 g cm⁻³
relative energy among the computed polymorphs = 0 meV per atom